Density functional theory data (PBE-GGA) for a relaxed structure of TbGdIr.

## Properties
Total energy, eV/atom: -9.741
Energy of formation from the pure elements, kJ/mol of formula units: -159
Excess energy over the best structure of this formula in the dataset, meV/atom: 109

abc: 4.1275 4.1275 6.1679
angles: 90.00 90.00 120.00
Space group P3m1 (No. 156)
Unique sites:
Tb1 0.0000 0.0000 0.0000 [1 per cell]
Gd1 0.3333 0.6667 0.5376 [1 per cell]
Ir1 0.6667 0.3333 0.7705 [1 per cell]


Density functional theory data (PBE-GGA) for a relaxed structure of GdGaCuPt.

## Properties
Total energy, eV/atom: -7.402
Energy of formation from the pure elements, kJ/mol of formula units: -228

abc: 6.6271 6.6271 6.6271
angles: 90.00 90.00 90.00
Space group F-43m (No. 216)
Unique sites:
Gd1 0.0000 0.0000 0.0000 [4 per cell]
Ga1 0.0000 0.0000 0.5000 [4 per cell]
Cu1 0.2500 0.2500 0.7500 [4 per cell]
Pt1 0.2500 0.2500 0.2500 [4 per cell]


Density functional theory data (PBE-GGA) for a relaxed structure of SrInSb2.

## Properties
Total energy, eV/atom: -3.490
Raw formation energy, eV per atom: -0.32

abc: 4.3183 4.3183 24.4799
angles: 90.00 90.00 120.00
Space group R-3m (No. 166, hexagonal axes)
Unique sites:
Sr1 0.0000 0.0000 0.0000 [3 per cell]
In1 0.0000 0.0000 0.5000 [3 per cell]
Sb1 0.0000 0.0000 0.2371 [6 per cell]